1.
# SrTc2Rh GGA-PBEsol optimized geometry
# DFT total energy   -7.267 eV/atom
# Volume   16.8 Å³ per atom
# Energy of formation   0.861 eV per atom
# Energy above the lowest structure with this stoichiometry   302 meV per atom
# M_tot   0.000 μB/atom
data_SrTc2Rh
_chemical_formula_sum 'Sr1 Tc2 Rh1'
_cell_length_a 2.725
_cell_length_b 5.230
_cell_length_c 5.398
_cell_angle_alpha 118.97
_cell_angle_beta 90.00
_cell_angle_gamma 90.00
_space_group_name_H-M_alt 'P 1'
_space_group_IT_number 1
_space_group_name_Hall 'P 1'
loop_
_atom_site_label
_atom_site_fract_x
_atom_site_fract_y
_atom_site_fract_z
Rh1 0.500 0.000 0.000
Sr1 0.500 0.500 0.000
Tc1 0.000 0.500 0.500
Tc2 0.000 0.000 0.500



2.
# TiSbI2N GGA-PBEsol optimized geometry
# DFT total energy   -4.185 eV/atom
# Volume   21.8 Å³ per atom
# ΔE_f (raw)   4.01 eV per formula unit
# M_tot   0.323 μB/atom
data_TiSbI2N
_chemical_formula_sum 'Ti1 Sb1 I2 N1'
_cell_length_a 4.805
_cell_length_b 4.805
_cell_length_c 4.717
_cell_angle_alpha 90.00
_cell_angle_beta 90.00
_cell_angle_gamma 90.00
_space_group_name_H-M_alt 'P 1'
_space_group_IT_number 1
_space_group_name_Hall 'P 1'
loop_
_atom_site_label
_atom_site_fract_x
_atom_site_fract_y
_atom_site_fract_z
I1 0.000 0.500 0.000
I2 0.500 0.000 0.000
Sb1 0.000 0.000 0.500
N1 0.000 0.000 0.000
Ti1 0.500 0.500 0.500



Among the records above, which one has the highest DFT total energy? TiSbI2N



What did the second record say?
# TiSbI2N GGA-PBEsol optimized geometry
# DFT total energy   -4.185 eV/atom
# Volume   21.8 Å³ per atom
# ΔE_f (raw)   4.01 eV per formula unit
# M_tot   0.323 μB/atom
data_TiSbI2N
_chemical_formula_sum 'Ti1 Sb1 I2 N1'
_cell_length_a 4.805
_cell_length_b 4.805
_cell_length_c 4.717
_cell_angle_alpha 90.00
_cell_angle_beta 90.00
_cell_angle_gamma 90.00
_space_group_name_H-M_alt 'P 1'
_space_group_IT_number 1
_space_group_name_Hall 'P 1'
loop_
_atom_site_label
_atom_site_fract_x
_atom_site_fract_y
_atom_site_fract_z
I1 0.000 0.500 0.000
I2 0.500 0.000 0.000
Sb1 0.000 0.000 0.500
N1 0.000 0.000 0.000
Ti1 0.500 0.500 0.500